The following is a DFT calculation (PBE) of LiCdFe2Ru after structural relaxation.

Cell lengths 4.1495, 4.2267, 4.1495 Å; angles 90.00, 90.00, 90.00 degrees
Each line ends with the local moment (μB).
Fractional coordinates of all 5 atoms:
Ru: 0.0000 0.5000 0.0000  0.98
Li: 0.0000 0.0000 0.0000  -0.07
Fe: 0.0000 0.0000 0.5000  3.08
Fe: 0.5000 0.0000 0.0000  2.68
Cd: 0.5000 0.5000 0.5000  -0.04

Size of the total moment: 6.6 μB per formula unit
Energy: -4.9000 eV per atom
SG: P4/mmm
Energy of formation from the pure elements: 906 meV/atom

***

The following is a DFT calculation (PBE) of LiCdFeTe2 after structural relaxation.

Cell lengths 5.1347, 4.7394, 5.1347 Å; angles 90.00, 90.00, 90.00 degrees
Each line ends with the local moment (μB).
Fractional coordinates of all 5 atoms:
Te: 0.0000 0.0000 0.5000  0.06
Te: 0.5000 0.0000 0.0000  0.09
Li: 0.0000 0.5000 0.0000  -0.04
Fe: 0.0000 0.0000 0.0000  2.32
Cd: 0.5000 0.5000 0.5000  -0.04

Size of the total moment: 2.5 μB per formula unit
Formation energy (no corrections): 0.176 eV/atom
Energy: -3.3390 eV per atom
SG: P4/mmm

***

The following is a DFT calculation (PBE) of LiVCdFe2 after structural relaxation.

Cell lengths 4.2325, 4.7186, 4.2325 Å; angles 90.00, 90.00, 90.00 degrees
Each line ends with the local moment (μB).
Fractional coordinates of all 5 atoms:
V: 0.0000 0.0000 0.0000  -1.23
Li: 0.0000 0.5000 0.0000  -0.06
Fe: 0.0000 0.0000 0.5000  1.99
Fe: 0.5000 0.0000 0.0000  1.55
Cd: 0.5000 0.5000 0.5000  -0.02

Size of the total moment: 2.2 μB per formula unit
Energy: -4.8798 eV per atom
SG: P4/mmm
Energy of formation from the pure elements: 895 meV/atom

***

The following is a DFT calculation (PBE) of LuCdFe4 after structural relaxation.

Cell lengths 5.0300, 5.0300, 5.0300 Å; angles 60.00, 60.00, 60.00 degrees
Each line ends with the local moment (μB).
Fractional coordinates of all 6 atoms:
Lu: 0.0000 0.0000 0.0000  -0.35
Fe: 0.6255 0.6255 0.1236  2.31
Fe: 0.6255 0.1236 0.6255  2.31
Fe: 0.6255 0.6255 0.6255  2.31
Fe: 0.1236 0.6255 0.6255  2.31
Cd: 0.2500 0.2500 0.2500  -0.05

Size of the total moment: 8.8 μB per formula unit
Energy: -6.5862 eV per atom
SG: F-43m
Energy of formation from the pure elements: -38 meV/atom